# 1
Ca2Ac3Pb4, relaxed, DFT PBE-GGA; space group = No. 12; DOS(E_F) = 0.594 states/eV per atom; energy above the lowest structure with this stoichiometry = 0.000 eV per atom; total DFT energy (no corrections) = -3.938 eV per atom; calculated volume = 36.42 Å³/atom
1.0
8.961 -2.671 0.000
8.961 2.671 0.000
-1.973 0.000 6.846
Ca Ac Pb
2 3 4
direct
0.162 0.162 0.069
0.838 0.838 0.931
0.376 0.376 0.414
0.500 0.500 0.000
0.624 0.624 0.586
0.006 0.006 0.291
0.262 0.262 0.735
0.738 0.738 0.265
0.994 0.994 0.709

=====

# 2
NaCeBr6, relaxed, DFT PBE-GGA; space group = No. 2; DOS(E_F) = 0.060 states/eV per atom; energy above the lowest structure with this stoichiometry = 0.000 eV per atom; total DFT energy (no corrections) = -3.422 eV per atom; calculated volume = 37.48 Å³/atom
1.0
7.253 0.000 0.000
2.725 6.726 0.000
3.253 2.296 6.147
Na Ce Br
1 1 6
direct
0.000 0.000 0.000
0.500 0.500 0.500
0.146 0.732 0.381
0.253 0.295 0.910
0.449 0.809 0.682
0.551 0.191 0.318
0.747 0.705 0.090
0.854 0.268 0.619

=====

# 3
Hg2AsSe, relaxed, DFT PBE-GGA; space group = No. 8; DOS(E_F) = 0.407 states/eV per atom; total DFT energy (no corrections) = -2.111 eV per atom; calculated volume = 25.53 Å³/atom
1.0
7.959 0.000 0.000
0.000 3.531 0.000
-1.514 0.000 7.269
Hg As Se
4 2 2
direct
0.000 0.000 0.000
0.216 0.000 0.738
0.500 0.500 0.000
0.716 0.500 0.738
0.285 0.500 0.238
0.785 0.000 0.238
0.425 0.000 0.463
0.925 0.500 0.463

=====

# 4
NbNiPt, relaxed, DFT PBE-GGA; space group = No. 11; DOS(E_F) = 1.273 states/eV per atom; energy above the lowest structure with this stoichiometry = 0.000 eV per atom; total DFT energy (no corrections) = -7.718 eV per atom; calculated volume = 14.82 Å³/atom
1.0
3.901 0.000 0.000
0.000 3.986 0.000
-1.942 0.000 5.718
Nb Ni Pt
2 2 2
direct
0.102 0.250 0.201
0.898 0.750 0.799
0.249 0.750 0.497
0.751 0.250 0.503
0.414 0.250 0.831
0.586 0.750 0.169

=====

# 5
TmPaIrSe, relaxed, DFT PBE-GGA; space group = No. 160; DOS(E_F) = 1.115 states/eV per atom; total DFT energy (no corrections) = -7.695 eV per atom; calculated volume = 24.33 Å³/atom
1.0
3.954 0.000 0.000
-1.977 3.424 0.000
0.000 0.000 21.566
Tm Pa Ir Se
3 3 3 3
direct
0.000 0.000 0.000
0.333 0.667 0.667
0.667 0.333 0.333
0.000 0.000 0.186
0.333 0.667 0.853
0.667 0.333 0.520
0.000 0.000 0.588
0.333 0.667 0.255
0.667 0.333 0.922
0.000 0.000 0.759
0.333 0.667 0.426
0.667 0.333 0.092

=====

# 6
CoNiCl2, relaxed, DFT PBE-GGA; space group = No. 123; DOS(E_F) = 1.461 states/eV per atom; energy above the lowest structure with this stoichiometry = 0.576 eV per atom; total DFT energy (no corrections) = -3.722 eV per atom; calculated volume = 14.66 Å³/atom
1.0
3.081 0.000 0.000
0.000 3.081 0.000
0.000 0.000 6.176
Co Ni Cl
1 1 2
direct
0.000 0.000 0.000
0.000 0.000 0.500
0.500 0.500 0.247
0.500 0.500 0.753

=====

# 7
Li2AcTa2O7, relaxed, DFT PBE-GGA; space group = No. 71; DOS(E_F) = 0.027 states/eV per atom; total DFT energy (no corrections) = -8.339 eV per atom; calculated volume = 12.56 Å³/atom
1.0
-2.011 2.016 9.298
2.011 -2.016 9.298
2.011 2.016 -9.298
Li Ac Ta O
2 1 2 7
direct
0.249 0.249 0.000
0.751 0.751 0.000
0.000 0.500 0.500
0.385 0.885 0.500
0.615 0.115 0.500
0.101 0.101 0.000
0.283 0.783 0.500
0.401 0.401 0.000
0.500 0.000 0.500
0.599 0.599 0.000
0.717 0.217 0.500
0.899 0.899 0.000

=====

# 8
Sm5AlSe4, relaxed, DFT PBE-GGA; space group = No. 87; DOS(E_F) = 0.379 states/eV per atom; total DFT energy (no corrections) = -5.662 eV per atom; calculated volume = 26.45 Å³/atom
1.0
-4.720 4.720 2.968
4.720 -4.720 2.968
4.720 4.720 -2.968
Sm Al Se
5 1 4
direct
0.000 0.000 0.000
0.201 0.402 0.603
0.402 0.799 0.201
0.598 0.201 0.799
0.799 0.598 0.397
0.500 0.500 0.000
0.100 0.699 0.799
0.301 0.100 0.401
0.699 0.900 0.599
0.900 0.301 0.201

=====

Copy entry 5 word for word.
TmPaIrSe, relaxed, DFT PBE-GGA; space group = No. 160; DOS(E_F) = 1.115 states/eV per atom; total DFT energy (no corrections) = -7.695 eV per atom; calculated volume = 24.33 Å³/atom
1.0
3.954 0.000 0.000
-1.977 3.424 0.000
0.000 0.000 21.566
Tm Pa Ir Se
3 3 3 3
direct
0.000 0.000 0.000
0.333 0.667 0.667
0.667 0.333 0.333
0.000 0.000 0.186
0.333 0.667 0.853
0.667 0.333 0.520
0.000 0.000 0.588
0.333 0.667 0.255
0.667 0.333 0.922
0.000 0.000 0.759
0.333 0.667 0.426
0.667 0.333 0.092